# 1
Density functional theory data (PBE) for Tm2ThHg after structural relaxation.

a b c (Å): 3.574 3.574 31.589
angles (deg): 90.00 90.00 120.00
Element x y z (fractional)
Tm 0.000 0.000 0.000
Tm 0.000 0.000 0.184
Tm 0.333 0.667 0.667
Tm 0.333 0.667 0.851
Tm 0.667 0.333 0.333
Tm 0.667 0.333 0.517
Th 0.000 0.000 0.758
Th 0.333 0.667 0.425
Th 0.667 0.333 0.092
Hg 0.000 0.000 0.592
Hg 0.333 0.667 0.259
Hg 0.667 0.333 0.926

Computed properties:
Space-group type = R3m (160)
Excess energy over the best structure of this formula in the dataset = 0.123 eV/atom

---

# 2
Density functional theory data (PBE) for TlIr2Os after structural relaxation.

a b c (Å): 4.042 4.042 3.979
angles (deg): 90.00 90.00 90.00
Element x y z (fractional)
Tl 0.000 0.000 0.000
Ir 0.000 0.500 0.500
Ir 0.500 0.000 0.500
Os 0.500 0.500 0.000

Computed properties:
Space-group type = P4/mmm (123)
Excess energy over the best structure of this formula in the dataset = 0.395 eV/atom